No. 1
# CrNiB

A relaxed structure of CrNiB (PBE, Alexandria).

Values from the calculation:
E_form   -0.189 eV per atom
Spin magnetization   0.0 μB per formula unit

abc: 7.054 4.296 5.062
angles: 90.00 133.88 90.00
Space group Cm (No. 8)
Asymmetric unit:
Cr1 0.000 0.000 0.000 x2
Cr2 0.166 0.000 0.706 x2
Ni1 0.155 0.500 0.351 x2
Ni2 0.485 0.000 0.655 x2
B1 0.328 0.282 0.183 x4


No. 2
# ScMnGaSb2

A relaxed structure of ScMnGaSb2 (PBE, Alexandria).

Values from the calculation:
Formation energy from raw total energies   0.64 eV/atom
Spin magnetization   4.5 μB per formula unit

abc: 5.298 5.298 5.000
angles: 90.00 90.00 90.00
Space group P4/mmm (No. 123)
Asymmetric unit:
Sc1 0.000 0.000 0.000 x1
Mn1 0.500 0.500 0.000 x1
Ga1 0.000 0.000 0.500 x1
Sb1 0.000 0.500 0.500 x2